A relaxed structure of Ta4Ti2Ga. Source: Alexandria, functional PBE-GGA. Values from VASP.

## Properties
The crystal system is tetragonal. For the mass density, the calculation gives 10.1 Mg/m³. As for the space group: I4/mmm. The formation energy comes out at 117 kJ per mole of atoms. The calculation puts the magnetization at 1.16 μB/f.u.

Structure (Quantum ESPRESSO input):
```
&SYSTEM
  ibrav = 0, nat = 7, ntyp = 3
/
ATOMIC_SPECIES
Ta 180.95 Ta.upf
Ti 47.87 Ti.upf
Ga 69.72 Ga.upf
ATOMIC_POSITIONS crystal
Ta 0.000 0.500 0.500
Ta 0.191 0.191 0.000
Ta 0.500 0.000 0.500
Ta 0.809 0.809 0.000
Ti 0.391 0.391 0.000
Ti 0.609 0.609 0.000
Ga 0.000 0.000 0.000
CELL_PARAMETERS angstrom
-2.374 2.374 6.499
2.374 -2.374 6.499
2.374 2.374 -6.499
```